# 1
# YCd5Ag2 (PBE-GGA, optimized geometry)
# Energy of formation from the pure elements: -1.23 eV/f.u.
data_YCd5Ag2
_symmetry_space_group_name_H-M 'I m m m'
_symmetry_Int_Tables_number 71
_symmetry_space_group_name_Hall '-I 2 2'
_cell_length_a 3.4155
_cell_length_b 9.1445
_cell_length_c 11.2813
_cell_angle_alpha 90.00
_cell_angle_beta 90.00
_cell_angle_gamma 90.00
loop_
_atom_site_label
_atom_site_type_symbol
_atom_site_fract_x
_atom_site_fract_y
_atom_site_fract_z
Y1 Y 0.0000 0.0000 0.0000
Cd1 Cd 0.0000 0.2242 0.3663
Cd2 Cd 0.0000 0.5000 0.0000
Ag1 Ag 0.0000 0.5000 0.2574



# 2
# Y4CdAg3 (PBE-GGA, optimized geometry)
# Energy of formation from the pure elements: -2.28 eV/f.u.
# Offset from the most stable computed form: 0.044 eV/atom
data_Y4CdAg3
_symmetry_space_group_name_H-M 'P m m 2'
_symmetry_Int_Tables_number 25
_cell_length_a 3.6902
_cell_length_b 4.8656
_cell_length_c 11.3297
_cell_angle_alpha 90.00
_cell_angle_beta 90.00
_cell_angle_gamma 90.00
loop_
_symmetry_equiv_pos_as_xyz
'x,y,z'
'-x,-y,z'
'-x,y,z'
'x,-y,z'
loop_
_atom_site_label
_atom_site_type_symbol
_atom_site_fract_x
_atom_site_fract_y
_atom_site_fract_z
Y1 Y 0.0000 0.0000 0.0000
Y2 Y 0.0000 0.5000 0.2819
Y3 Y 0.5000 0.0000 0.4859
Y4 Y 0.5000 0.5000 0.7913
Cd1 Cd 0.0000 0.0000 0.7179
Ag1 Ag 0.0000 0.5000 0.5597
Ag2 Ag 0.5000 0.0000 0.2179
Ag3 Ag 0.5000 0.5000 0.0631



# 3
# YCd4Ag7 (PBE-GGA, optimized geometry)
# Energy of formation from the pure elements: 0.60 eV/f.u.
data_YCd4Ag7
_symmetry_space_group_name_H-M 'C 1 2/m 1'
_symmetry_Int_Tables_number 12
_cell_length_a 10.8782
_cell_length_b 5.2634
_cell_length_c 10.3923
_cell_angle_alpha 90.00
_cell_angle_beta 120.43
_cell_angle_gamma 90.00
loop_
_symmetry_equiv_pos_as_xyz
'x,y,z'
'-x,-y,-z'
'-x,y,-z'
'x,-y,z'
'x+1/2,y+1/2,z'
'-x+1/2,-y+1/2,-z'
'-x+1/2,y+1/2,-z'
'x+1/2,-y+1/2,z'
loop_
_atom_site_label
_atom_site_type_symbol
_atom_site_fract_x
_atom_site_fract_y
_atom_site_fract_z
Y1 Y 0.0000 0.0000 0.0000
Cd1 Cd 0.0916 0.5000 0.3154
Cd2 Cd 0.1818 0.0000 0.7751
Ag1 Ag 0.0000 0.5000 0.0000
Ag2 Ag 0.1107 0.0000 0.4583
Ag3 Ag 0.1682 0.5000 0.6243
Ag4 Ag 0.1966 0.5000 0.9102



# 4
# YCd2Ag4 (PBE-GGA, optimized geometry)
# Energy of formation from the pure elements: 0.28 eV/f.u.
data_YCd2Ag4
_symmetry_space_group_name_H-M 'I 4/m m m'
_symmetry_Int_Tables_number 139
_symmetry_space_group_name_Hall '-I 4 2'
_cell_length_a 7.3167
_cell_length_b 7.3167
_cell_length_c 5.9187
_cell_angle_alpha 90.00
_cell_angle_beta 90.00
_cell_angle_gamma 90.00
loop_
_atom_site_label
_atom_site_type_symbol
_atom_site_fract_x
_atom_site_fract_y
_atom_site_fract_z
Y1 Y 0.0000 0.0000 0.0000
Cd1 Cd 0.0000 0.5000 0.0000
Ag1 Ag 0.2500 0.2500 0.2500



# 5
# YCd3Ag2 (PBE-GGA, optimized geometry)
# Energy of formation from the pure elements: -0.95 eV/f.u.
data_YCd3Ag2
_symmetry_space_group_name_H-M 'C 1 2/m 1'
_symmetry_Int_Tables_number 12
_cell_length_a 14.3174
_cell_length_b 5.0087
_cell_length_c 7.8338
_cell_angle_alpha 90.00
_cell_angle_beta 107.49
_cell_angle_gamma 90.00
loop_
_symmetry_equiv_pos_as_xyz
'x,y,z'
'-x,-y,-z'
'-x,y,-z'
'x,-y,z'
'x+1/2,y+1/2,z'
'-x+1/2,-y+1/2,-z'
'-x+1/2,y+1/2,-z'
'x+1/2,-y+1/2,z'
loop_
_atom_site_label
_atom_site_type_symbol
_atom_site_fract_x
_atom_site_fract_y
_atom_site_fract_z
Y1 Y 0.1353 0.0000 0.2159
Cd1 Cd 0.0842 0.0000 0.7634
Cd2 Cd 0.1113 0.5000 0.5624
Cd3 Cd 0.1900 0.5000 0.9950
Ag1 Ag 0.0139 0.5000 0.1847
Ag2 Ag 0.2451 0.0000 0.6149



# 6
# YCd2Ag3 (PBE-GGA, optimized geometry)
# Energy of formation from the pure elements: -1.18 eV/f.u.
data_YCd2Ag3
_symmetry_space_group_name_H-M 'P 63/m m c'
_symmetry_Int_Tables_number 194
_symmetry_space_group_name_Hall '-P 6c 2c'
_cell_length_a 4.8172
_cell_length_b 4.8172
_cell_length_c 12.7357
_cell_angle_alpha 90.00
_cell_angle_beta 90.00
_cell_angle_gamma 120.00
loop_
_atom_site_label
_atom_site_type_symbol
_atom_site_fract_x
_atom_site_fract_y
_atom_site_fract_z
Y1 Y 0.0000 0.0000 0.2500
Cd1 Cd 0.3333 0.6667 0.0936
Ag1 Ag 0.0000 0.0000 0.0000
Ag2 Ag 0.3333 0.6667 0.6363